# 1
# PmScNiAg PBE optimized geometry
data_PmScNiAg
_space_group_name_H-M_alt 'F -4 3 m'
_space_group_IT_number 216
_space_group_name_Hall 'F -4 2 3'
_cell_length_a 6.950
_cell_length_b 6.950
_cell_length_c 6.950
_cell_angle_alpha 90.00
_cell_angle_beta 90.00
_cell_angle_gamma 90.00
loop_
_atom_site_label
_atom_site_fract_x
_atom_site_fract_y
_atom_site_fract_z
_atom_site_occupancy
Pm1 0.000 0.000 0.000 1
Sc1 0.000 0.000 0.500 1
Ni1 0.250 0.250 0.250 1
Ag1 0.250 0.250 0.750 1
# - ΔH_f (0 K) (eV/atom) = -0.24

# 2
# Sc5Zn4Cd PBE optimized geometry
data_Sc5Zn4Cd
_space_group_name_H-M_alt 'P 4/m m m'
_space_group_IT_number 123
_space_group_name_Hall '-P 4 2'
_cell_length_a 3.361
_cell_length_b 3.361
_cell_length_c 17.211
_cell_angle_alpha 90.00
_cell_angle_beta 90.00
_cell_angle_gamma 90.00
loop_
_atom_site_label
_atom_site_fract_x
_atom_site_fract_y
_atom_site_fract_z
_atom_site_occupancy
Sc1 0.000 0.000 0.000 1
Sc2 0.000 0.000 0.194 1
Sc3 0.000 0.000 0.386 1
Zn1 0.500 0.500 0.097 1
Zn2 0.500 0.500 0.290 1
Cd1 0.500 0.500 0.500 1
# - ΔH_f (0 K) (eV/atom) = -0.36

# 3
# ZrScBeZn2 PBE optimized geometry
data_ZrScBeZn2
_space_group_name_H-M_alt 'P 4/m m m'
_space_group_IT_number 123
_space_group_name_Hall '-P 4 2'
_cell_length_a 4.292
_cell_length_b 4.292
_cell_length_c 4.732
_cell_angle_alpha 90.00
_cell_angle_beta 90.00
_cell_angle_gamma 90.00
loop_
_atom_site_label
_atom_site_fract_x
_atom_site_fract_y
_atom_site_fract_z
_atom_site_occupancy
Zr1 0.000 0.000 0.000 1
Sc1 0.500 0.500 0.000 1
Be1 0.500 0.500 0.500 1
Zn1 0.000 0.500 0.500 1
# - ΔH_f (0 K) (eV/atom) = 0.18

# 4
# Pm3Dy3Si4 PBE optimized geometry
data_Pm3Dy3Si4
_space_group_name_H-M_alt 'A m m 2'
_space_group_IT_number 38
_space_group_name_Hall 'A 2 -2'
_cell_length_a 4.316
_cell_length_b 10.743
_cell_length_c 10.653
_cell_angle_alpha 90.00
_cell_angle_beta 90.00
_cell_angle_gamma 90.00
loop_
_atom_site_label
_atom_site_fract_x
_atom_site_fract_y
_atom_site_fract_z
_atom_site_occupancy
Pm1 0.000 0.000 0.000 1
Pm2 0.000 0.177 0.326 1
Dy1 0.000 0.000 0.648 1
Dy2 0.500 0.249 0.075 1
Si1 0.500 0.000 0.212 1
Si2 0.500 0.000 0.444 1
Si3 0.500 0.114 0.821 1
# - formation energy without anion corrections (kJ/mol of formula units) = -671

# 5
# MnTlAgI5 PBE optimized geometry
data_MnTlAgI5
_space_group_name_H-M_alt 'C 1 2/c 1'
_space_group_IT_number 15
_space_group_name_Hall '-C 2yc'
_cell_length_a 9.489
_cell_length_b 13.195
_cell_length_c 11.030
_cell_angle_alpha 90.00
_cell_angle_beta 112.96
_cell_angle_gamma 90.00
loop_
_atom_site_label
_atom_site_fract_x
_atom_site_fract_y
_atom_site_fract_z
_atom_site_occupancy
Mn1 0.000 0.000 0.000 1
Tl1 0.000 0.330 0.250 1
Ag1 0.000 0.307 0.750 1
I1 0.000 0.061 0.250 1
I2 0.093 0.199 0.576 1
I3 0.197 0.449 0.933 1
# - formation energy without anion corrections (kJ/mol of formula units) = -272

# 6
# Fe3SbCl PBE optimized geometry
data_Fe3SbCl
_space_group_name_H-M_alt 'P m -3 m'
_space_group_IT_number 221
_space_group_name_Hall '-P 4 2 3'
_cell_length_a 4.311
_cell_length_b 4.311
_cell_length_c 4.311
_cell_angle_alpha 90.00
_cell_angle_beta 90.00
_cell_angle_gamma 90.00
loop_
_atom_site_label
_atom_site_fract_x
_atom_site_fract_y
_atom_site_fract_z
_atom_site_occupancy
Fe1 0.000 0.000 0.500 1
Sb1 0.500 0.500 0.500 1
Cl1 0.000 0.000 0.000 1
# - formation energy without anion corrections (kJ/mol of formula units) = 357
# - offset from the most stable computed form (eV/f.u.) = 0.000

# 7
# LiRhSe2 PBE optimized geometry
data_LiRhSe2
_space_group_name_H-M_alt 'P 4/m m m'
_space_group_IT_number 123
_space_group_name_Hall '-P 4 2'
_cell_length_a 4.649
_cell_length_b 4.649
_cell_length_c 2.987
_cell_angle_alpha 90.00
_cell_angle_beta 90.00
_cell_angle_gamma 90.00
loop_
_atom_site_label
_atom_site_fract_x
_atom_site_fract_y
_atom_site_fract_z
_atom_site_occupancy
Li1 0.000 0.000 0.000 1
Rh1 0.500 0.500 0.000 1
Se1 0.000 0.500 0.500 1
# - formation energy without anion corrections (kJ/mol of formula units) = -137

# 8
# Rb3CdO2 PBE optimized geometry
data_Rb3CdO2
_space_group_name_H-M_alt 'I b a m'
_space_group_IT_number 72
_space_group_name_Hall '-I 2 2c'
_cell_length_a 6.708
_cell_length_b 13.325
_cell_length_c 7.381
_cell_angle_alpha 90.00
_cell_angle_beta 90.00
_cell_angle_gamma 90.00
loop_
_atom_site_label
_atom_site_fract_x
_atom_site_fract_y
_atom_site_fract_z
_atom_site_occupancy
Rb1 0.000 0.000 0.250 1
Rb2 0.000 0.266 0.250 1
Cd1 0.000 0.500 0.000 1
O1 0.232 0.379 0.000 1
# - formation energy without anion corrections (kJ/mol of formula units) = -461
# - offset from the most stable computed form (eV/f.u.) = 0.104

# 9
# FeMoRu2 PBE optimized geometry
data_FeMoRu2
_space_group_name_H-M_alt 'R 3 m'
_space_group_IT_number 160
_space_group_name_Hall 'R 3 -2"'
_cell_length_a 2.7029
_cell_length_b 2.7029
_cell_length_c 26.3898
_cell_angle_alpha 90.00
_cell_angle_beta 90.00
_cell_angle_gamma 120.00
loop_
_atom_site_label
_atom_site_fract_x
_atom_site_fract_y
_atom_site_fract_z
_atom_site_occupancy
Fe1 0.0000 0.0000 0.0000 1
Mo1 0.0000 0.0000 0.7520 1
Ru1 0.0000 0.0000 0.2565 1
Ru2 0.0000 0.0000 0.5036 1
# - offset from the most stable computed form (eV/f.u.) = 0.603
# - ΔH_f (0 K) (eV/atom) = 0.19

# 10
# ErTm2Pb9 PBE optimized geometry
data_ErTm2Pb9
_space_group_name_H-M_alt 'P 4/m m m'
_space_group_IT_number 123
_space_group_name_Hall '-P 4 2'
_cell_length_a 4.863
_cell_length_b 4.863
_cell_length_c 14.598
_cell_angle_alpha 90.00
_cell_angle_beta 90.00
_cell_angle_gamma 90.00
loop_
_atom_site_label
_atom_site_fract_x
_atom_site_fract_y
_atom_site_fract_z
_atom_site_occupancy
Er1 0.000 0.000 0.000 1
Tm1 0.000 0.000 0.333 1
Pb1 0.000 0.500 0.167 1
Pb2 0.000 0.500 0.500 1
Pb3 0.500 0.500 0.000 1
Pb4 0.500 0.500 0.334 1
# - ΔH_f (0 K) (eV/atom) = -0.22

# 11
# SrSm3Bi4 PBE optimized geometry
data_SrSm3Bi4
_space_group_name_H-M_alt 'P 1 2/c 1'
_space_group_IT_number 13
_space_group_name_Hall '-P 2yc'
_cell_length_a 8.027
_cell_length_b 9.294
_cell_length_c 7.974
_cell_angle_alpha 90.00
_cell_angle_beta 109.72
_cell_angle_gamma 90.00
loop_
_atom_site_label
_atom_site_fract_x
_atom_site_fract_y
_atom_site_fract_z
_atom_site_occupancy
Sr1 0.000 0.124 0.250 1
Sm1 0.000 0.375 0.750 1
Sm2 0.500 0.124 0.750 1
Sm3 0.500 0.375 0.250 1
Bi1 0.254 0.381 0.506 1
Bi2 0.262 0.132 0.999 1
# - ΔH_f (0 K) (eV/atom) = -0.86

# 12
# KTiInHg2 PBE optimized geometry
data_KTiInHg2
_space_group_name_H-M_alt 'P 4/m m m'
_space_group_IT_number 123
_space_group_name_Hall '-P 4 2'
_cell_length_a 5.519
_cell_length_b 5.519
_cell_length_c 5.508
_cell_angle_alpha 90.00
_cell_angle_beta 90.00
_cell_angle_gamma 90.00
loop_
_atom_site_label
_atom_site_fract_x
_atom_site_fract_y
_atom_site_fract_z
_atom_site_occupancy
K1 0.000 0.000 0.000 1
Ti1 0.500 0.500 0.500 1
In1 0.500 0.500 0.000 1
Hg1 0.000 0.500 0.500 1
# - ΔH_f (0 K) (eV/atom) = 0.16

# 13
# TbCeHoAg PBE optimized geometry
data_TbCeHoAg
_space_group_name_H-M_alt 'F -4 3 m'
_space_group_IT_number 216
_space_group_name_Hall 'F -4 2 3'
_cell_length_a 7.496
_cell_length_b 7.496
_cell_length_c 7.496
_cell_angle_alpha 90.00
_cell_angle_beta 90.00
_cell_angle_gamma 90.00
loop_
_atom_site_label
_atom_site_fract_x
_atom_site_fract_y
_atom_site_fract_z
_atom_site_occupancy
Tb1 0.000 0.000 0.000 1
Ce1 0.250 0.250 0.250 1
Ho1 0.000 0.000 0.500 1
Ag1 0.250 0.250 0.750 1
# - ΔH_f (0 K) (eV/atom) = 0.13

# 14
# NaLi2Y2 PBE optimized geometry
data_NaLi2Y2
_space_group_name_H-M_alt 'P 4/m b m'
_space_group_IT_number 127
_space_group_name_Hall '-P 4 2ab'
_cell_length_a 8.894
_cell_length_b 8.894
_cell_length_c 3.585
_cell_angle_alpha 90.00
_cell_angle_beta 90.00
_cell_angle_gamma 90.00
loop_
_atom_site_label
_atom_site_fract_x
_atom_site_fract_y
_atom_site_fract_z
_atom_site_occupancy
Na1 0.000 0.000 0.000 1
Li1 0.146 0.354 0.000 1
Y1 0.145 0.645 0.500 1
# - offset from the most stable computed form (eV/f.u.) = 0.000
# - ΔH_f (0 K) (eV/atom) = 0.28

# 15
# Cr2AgOs PBE optimized geometry
data_Cr2AgOs
_space_group_name_H-M_alt 'R -3 m'
_space_group_IT_number 166
_space_group_name_Hall '-R 3 2"'
_cell_length_a 2.6811
_cell_length_b 2.6811
_cell_length_c 27.0888
_cell_angle_alpha 90.00
_cell_angle_beta 90.00
_cell_angle_gamma 120.00
loop_
_atom_site_label
_atom_site_fract_x
_atom_site_fract_y
_atom_site_fract_z
_atom_site_occupancy
Cr1 0.0000 0.0000 0.2449 1
Ag1 0.0000 0.0000 0.0000 1
Os1 0.0000 0.0000 0.5000 1
# - ΔH_f (0 K) (eV/atom) = 0.43

# 16
# NaPuThO6 PBE optimized geometry
data_NaPuThO6
_space_group_name_H-M_alt 'P 42 n m'
_space_group_IT_number 102
_space_group_name_Hall 'P 4n -2n'
_cell_length_a 5.202
_cell_length_b 5.202
_cell_length_c 10.433
_cell_angle_alpha 90.00
_cell_angle_beta 90.00
_cell_angle_gamma 90.00
loop_
_atom_site_label
_atom_site_fract_x
_atom_site_fract_y
_atom_site_fract_z
_atom_site_occupancy
Na1 0.000 0.000 0.000 1
Pu1 0.000 0.000 0.669 1
Th1 0.000 0.000 0.331 1
O1 0.174 0.174 0.520 1
O2 0.190 0.190 0.811 1
O3 0.226 0.226 0.175 1
# - formation energy without anion corrections (kJ/mol of formula units) = -2338

# 17
# SrCa2Pd PBE optimized geometry
data_SrCa2Pd
_space_group_name_H-M_alt 'R 3 m'
_space_group_IT_number 160
_space_group_name_Hall 'R 3 -2"'
_cell_length_a 4.2192
_cell_length_b 4.2192
_cell_length_c 29.4735
_cell_angle_alpha 90.00
_cell_angle_beta 90.00
_cell_angle_gamma 120.00
loop_
_atom_site_label
_atom_site_fract_x
_atom_site_fract_y
_atom_site_fract_z
_atom_site_occupancy
Sr1 0.0000 0.0000 0.0000 1
Ca1 0.0000 0.0000 0.5508 1
Ca2 0.0000 0.0000 0.7792 1
Pd1 0.0000 0.0000 0.1646 1
# - offset from the most stable computed form (eV/f.u.) = 0.399
# - ΔH_f (0 K) (eV/atom) = -0.32

# 18
# Er5In2H PBE optimized geometry
data_Er5In2H
_space_group_name_H-M_alt 'I 4 m m'
_space_group_IT_number 107
_space_group_name_Hall 'I 4 -2'
_cell_length_a 6.863
_cell_length_b 6.863
_cell_length_c 8.919
_cell_angle_alpha 90.00
_cell_angle_beta 90.00
_cell_angle_gamma 90.00
loop_
_atom_site_label
_atom_site_fract_x
_atom_site_fract_y
_atom_site_fract_z
_atom_site_occupancy
Er1 0.000 0.000 0.000 1
Er2 0.248 0.248 0.254 1
In1 0.000 0.500 0.003 1
H1 0.000 0.000 0.753 1
# - DFT total energy (eV/cell) = -66.21

# 19
# BeAg2Hg PBE optimized geometry
data_BeAg2Hg
_space_group_name_H-M_alt 'P 4 m m'
_space_group_IT_number 99
_space_group_name_Hall 'P 4 -2'
_cell_length_a 3.078
_cell_length_b 3.078
_cell_length_c 6.965
_cell_angle_alpha 90.00
_cell_angle_beta 90.00
_cell_angle_gamma 90.00
loop_
_atom_site_label
_atom_site_fract_x
_atom_site_fract_y
_atom_site_fract_z
_atom_site_occupancy
Be1 0.000 0.000 0.000 1
Ag1 0.000 0.000 0.539 1
Ag2 0.500 0.500 0.820 1
Hg1 0.500 0.500 0.240 1
# - offset from the most stable computed form (eV/f.u.) = 0.195
# - ΔH_f (0 K) (eV/atom) = 0.20

# 20
# Ac4PmGe4 PBE optimized geometry
data_Ac4PmGe4
_space_group_name_H-M_alt 'P 42/n'
_space_group_IT_number 86
_cell_length_a 9.527
_cell_length_b 9.527
_cell_length_c 6.504
_cell_angle_alpha 90.00
_cell_angle_beta 90.00
_cell_angle_gamma 90.00
loop_
_space_group_symop_operation_xyz
'x,y,z'
'-x,-y,-z'
'-y,x+1/2,z+1/2'
'y,-x+1/2,-z+1/2'
'-x+1/2,-y+1/2,z'
'x+1/2,y+1/2,-z'
'y+1/2,-x,z+1/2'
'-y+1/2,x,-z+1/2'
loop_
_atom_site_label
_atom_site_fract_x
_atom_site_fract_y
_atom_site_fract_z
_atom_site_occupancy
Ac1 0.047 0.676 0.116 1
Pm1 0.250 0.250 0.250 1
Ge1 0.004 0.624 0.600 1
# - ΔH_f (0 K) (eV/atom) = -0.54